A plane-wave DFT calculation with PBE+U was carried out for a relaxed structure of SrLi2W2O7.

Computed properties:
Its total energy is -6.82 eV per atom. The calculation puts the total magnetization at 4.00 μB per cell.

Cell and atoms, written as CIF:
```
data_SrLi2W2O7
_chemical_formula_sum 'Sr2 Li4 W4 O14'
_symmetry_space_group_name_H-M 'I m m m'
_symmetry_Int_Tables_number 71
_symmetry_space_group_name_Hall '-I 2 2'
_cell_length_a 4.0545
_cell_length_b 4.0557
_cell_length_c 17.7732
_cell_angle_alpha 90.00
_cell_angle_beta 90.00
_cell_angle_gamma 90.00
loop_
_atom_site_label
_atom_site_type_symbol
_atom_site_fract_x
_atom_site_fract_y
_atom_site_fract_z
_atom_site_occupancy
Sr1 Sr 0.0000 0.0000 0.0000 1
Li1 Li 0.0000 0.5000 0.2503 1
W1 W 0.0000 0.0000 0.3854 1
O1 O 0.0000 0.0000 0.2799 1
O2 O 0.0000 0.0000 0.5000 1
O3 O 0.0000 0.5000 0.1039 1
O4 O 0.0000 0.5000 0.3959 1
```